# ThZnAu2

A relaxed structure of ThZnAu2 (PBE, Alexandria).

It has space group Cmcm (No. 63), with a = 7.1114 Å, b = 10.1047 Å, c = 5.2310 Å, α = 90.00°, β = 90.00° and γ = 90.00°. The inequivalent atoms are Th at (0.0000, 0.1852, 0.2500), Zn at (0.0000, 0.5000, 0.0000) and Au at (0.1999, 0.0975, 0.7500).

The formation energy comes out at -0.4192 eV/atom. The calculation puts the raw total energy at -4.231 eV per atom. The total magnetization is 0.000 μB/f.u.